Material: FeSbAs2
Method: DFT, meta-GGA SCAN
State: single point on PBEsol structure

Lattice parameters (Å, degrees): 2.906 2.906 8.572 90.00 90.00 90.00
Last column: magnetic moment on the atom in μB.
Sites, in units of the cell vectors:
Sb (0.500, 0.500, 0.500)  -0.01
As (0.000, 0.000, 0.833)  -0.04
As (0.000, 0.000, 0.167)  -0.04
Fe (0.500, 0.500, 0.000)  1.32

Results
The value obtained for the calculated total energy is -23.788 eV/atom. The calculation puts the formation energy from raw total energies at 0.155 eV per atom.

Material: Fe2SbAs
Method: DFT, meta-GGA SCAN
State: single point on PBEsol structure

Lattice parameters (Å, degrees): 2.891 3.492 6.256 106.21 103.36 90.00
Last column: magnetic moment on the atom in μB.
Sites, in units of the cell vectors:
Sb (0.455, 0.455, 0.910)  -0.03
Fe (0.766, 0.266, 0.532)  1.91
Fe (0.072, 0.072, 0.144)  2.03
As (0.206, 0.706, 0.413)  -0.06

Results
The value obtained for the calculated total energy is -23.255 eV/atom. The calculation puts the formation energy from raw total energies at 0.172 eV per atom.

Material: FeSb2As
Method: DFT, meta-GGA SCAN
State: single point on PBEsol structure

Lattice parameters (Å, degrees): 4.846 4.846 4.846 60.00 60.00 60.00
Last column: magnetic moment on the atom in μB.
Sites, in units of the cell vectors:
Sb (0.000, 0.000, 0.000)  -0.04
Sb (0.750, 0.750, 0.750)  -0.01
Fe (0.250, 0.250, 0.250)  3.07
As (0.500, 0.500, 0.500)  -0.07

Results
The value obtained for the calculated total energy is -27.613 eV/atom. The calculation puts the formation energy from raw total energies at 0.598 eV per atom.

Material: FeSb2As
Method: DFT, meta-GGA SCAN
State: single point on PBEsol structure

Lattice parameters (Å, degrees): 3.466 4.494 5.266 90.00 90.00 90.00
Last column: magnetic moment on the atom in μB.
Sites, in units of the cell vectors:
Sb (0.000, 0.000, 0.000)  0.00
Sb (0.500, 0.000, 0.500)  -0.03
Fe (0.000, 0.500, 0.500)  3.13
As (0.500, 0.500, 0.000)  0.01

Results
The value obtained for the calculated total energy is -27.628 eV/atom. The calculation puts the formation energy from raw total energies at 0.583 eV per atom.

Material: FeSbAs2
Method: DFT, meta-GGA SCAN
State: single point on PBEsol structure

Lattice parameters (Å, degrees): 2.989 4.524 6.012 112.10 104.39 90.00
Last column: magnetic moment on the atom in μB.
Sites, in units of the cell vectors:
Sb (0.000, 0.500, 0.000)  0.01
As (0.181, 0.181, 0.361)  -0.04
As (0.819, 0.819, 0.639)  -0.04
Fe (0.500, 0.000, 0.000)  2.01

Results
The value obtained for the calculated total energy is -23.638 eV/atom. The calculation puts the formation energy from raw total energies at 0.305 eV per atom.

Material: Fe2SbAs
Method: DFT, meta-GGA SCAN
State: single point on PBEsol structure

Lattice parameters (Å, degrees): 3.606 3.606 5.255 110.07 110.07 90.00
Last column: magnetic moment on the atom in μB.
Sites, in units of the cell vectors:
Sb (0.500, 0.500, 0.000)  0.01
Fe (0.000, 0.000, 0.000)  2.48
Fe (0.750, 0.250, 0.500)  2.73
As (0.250, 0.750, 0.500)  -0.01

Results
The value obtained for the calculated total energy is -22.991 eV/atom. The calculation puts the formation energy from raw total energies at 0.437 eV per atom.